[1]
A plane-wave DFT calculation with PBE was carried out for La4MgCo after structural relaxation.

Properties
polymorph energy (0 for the lowest one): 91 meV per atom
calculated density: 5773 kg/m³
ΔH_f (0 K): -29.8 meV/atom

```
La4MgCo
1.0
6.1375 -0.7049 0.0000
-1.7516 8.6494 0.0000
-2.1929 -3.9723 7.0877
La Co Mg
8 2 2
direct
0.3140 0.6764 0.8543
0.6860 0.3236 0.1457
0.6456 0.0684 0.3706
0.2249 0.3022 0.3706
0.3544 0.9316 0.6294
0.0403 0.1780 0.8543
0.7751 0.6978 0.6294
0.9597 0.8220 0.1457
0.2478 0.9978 0.9956
0.7522 0.0022 0.0044
0.6356 0.3856 0.7712
0.3644 0.6144 0.2288
```

***

[2]
A plane-wave DFT calculation with PBE was carried out for Pu2BeSi3 after structural relaxation.

Properties
polymorph energy (0 for the lowest one): 13 meV per atom
calculated density: 8882 kg/m³
raw formation energy: -446 meV/atom

```
Pu2BeSi3
1.0
4.0888 0.0000 0.0000
0.0000 3.9064 0.0000
0.0000 0.0000 6.8039
Si Pu Be
3 2 1
direct
0.5000 0.0000 0.1831
0.5000 0.0000 0.8380
0.5000 0.5000 0.6497
0.0000 0.0000 0.5028
0.0000 0.5000 0.9985
0.5000 0.5000 0.3280
```

***

[3]
A plane-wave DFT calculation with PBE was carried out for LaIn2HO after structural relaxation.

Properties
calculated density: 3871 kg/m³
electronic total energy: -3.065 eV/atom

```
LaIn2HO
1.0
6.2818 0.0000 0.0000
0.0000 4.1914 0.0000
0.0000 0.0000 6.2818
O La H In
1 1 1 2
direct
0.5000 0.5000 0.5000
0.0000 0.0000 0.0000
0.0000 0.5000 0.0000
0.5000 0.0000 0.0000
0.0000 0.0000 0.5000
```

***

[4]
A plane-wave DFT calculation with PBE was carried out for Ta2RhAu after structural relaxation.

Properties
calculated density: 16004 kg/m³
ΔH_f (0 K): -167.5 meV/atom

```
Ta2RhAu
1.0
-0.4507 -2.8503 0.2503
-0.0176 -0.2506 -2.8856
8.0842 -1.2730 0.0613
Rh Ta Au
1 2 1
direct
0.5000 0.5000 0.7624
0.0000 0.0000 0.9813
0.5000 0.5000 0.2504
0.0000 0.0000 0.5059
```

***

[5]
A plane-wave DFT calculation with PBE was carried out for Zn2CuTc after structural relaxation.

Properties
polymorph energy (0 for the lowest one): 69 meV per atom
calculated density: 8911 kg/m³
ΔH_f (0 K): 74.7 meV/atom

```
Zn2CuTc
1.0
-0.5478 1.6353 -2.0416
-2.5019 -2.1942 -1.0862
-3.8940 2.8090 3.2949
Zn Cu Tc
2 1 1
direct
0.0000 0.0000 0.0152
0.0000 0.0000 0.4848
0.5000 0.5000 0.2500
0.5000 0.5000 0.7500
```

***

[6]
A plane-wave DFT calculation with PBE was carried out for LaPm4Nd2Tm after structural relaxation.

Properties
calculated density: 6990 kg/m³
ΔH_f (0 K): 366.2 meV/atom

```
LaPm4Nd2Tm
1.0
9.4852 -0.0408 -1.7702
-0.0474 9.4851 -1.7702
-5.9838 -5.9880 8.4570
Pm Tm La Nd
8 2 2 4
direct
0.7562 0.2421 0.9987
0.2438 0.7579 0.0013
0.7617 0.7610 0.5160
0.7390 0.7383 0.9840
0.7421 0.2562 0.4987
0.2383 0.2390 0.4840
0.2610 0.2617 0.0160
0.2579 0.7438 0.5013
0.0000 0.0000 0.0000
0.5000 0.5000 0.5000
0.0000 0.5000 0.0000
0.0000 0.5000 0.5000
0.5000 0.0000 0.0000
0.0000 0.0000 0.5000
0.5000 0.5000 0.0000
0.5000 0.0000 0.5000
```

***

[7]
A plane-wave DFT calculation with PBE was carried out for CuSi2Pd3 after structural relaxation.

Properties
calculated density: 8456 kg/m³
raw formation energy: -454 meV/atom

```
CuSi2Pd3
1.0
4.7179 0.0000 -1.9587
-0.8513 4.7967 -2.0505
0.2885 0.2838 7.3564
Pd Si Cu
6 4 2
direct
0.9518 0.1835 0.3670
0.0482 0.8165 0.6330
0.4152 0.6835 0.3670
0.5848 0.3165 0.6330
0.5000 0.2500 0.0000
0.5000 0.7500 0.0000
0.8765 0.6314 0.2628
0.3863 0.1314 0.2628
0.1235 0.3686 0.7372
0.6137 0.8686 0.7372
0.0000 0.7500 0.0000
0.0000 0.2500 0.0000
```

***

[8]
A plane-wave DFT calculation with PBE was carried out for Mo7Pt4N after structural relaxation.

Properties
calculated density: 12795 kg/m³
raw formation energy: -1 meV/atom

```
Mo7Pt4N
1.0
4.1376 0.0000 1.3125
1.8085 4.5039 1.4768
-0.8148 -1.0191 9.7463
Mo Pt N
7 4 1
direct
0.0404 0.3024 0.6168
0.6570 0.2238 0.4623
0.3430 0.7762 0.5377
0.8280 0.4080 0.9360
0.5000 0.0000 0.0000
0.1720 0.5920 0.0640
0.9596 0.6976 0.3832
0.6276 0.5254 0.2194
0.7030 0.8733 0.7207
0.2970 0.1267 0.2793
0.3724 0.4746 0.7806
0.0000 0.0000 0.0000
```

***

[9]
A plane-wave DFT calculation with PBE was carried out for CrSbSe2 after structural relaxation.

Properties
polymorph energy (0 for the lowest one): 436 meV per atom
calculated density: 6345 kg/m³
raw formation energy: 119 meV/atom

```
CrSbSe2
1.0
2.9838 0.0000 0.0000
0.0000 2.9838 0.0000
0.0000 0.0000 9.7496
Se Sb Cr
2 1 1
direct
0.5000 0.5000 0.3374
0.0000 0.0000 0.0082
0.5000 0.5000 0.6819
0.0000 0.0000 0.4725
```

***

[10]
A plane-wave DFT calculation with PBE was carried out for ZnAg2BO4 after structural relaxation.

Properties
calculated density: 6255 kg/m³
raw formation energy: -1053 meV/atom

```
ZnAg2BO4
1.0
-4.7972 0.1605 -0.0300
-0.1361 -3.4233 3.3640
2.5454 4.5029 1.2586
O Ag Zn B
4 2 1 1
direct
0.4257 0.7805 0.2629
0.8372 0.4825 0.2630
0.6912 0.6346 0.6805
0.9893 0.0460 0.6805
0.4861 0.9860 0.9721
0.2358 0.2358 0.4716
0.9857 0.4857 0.9717
0.7359 0.7359 0.4718
```

***

[11]
A plane-wave DFT calculation with PBE was carried out for TbPrPbO2 after structural relaxation.

Properties
calculated density: 7951 kg/m³
raw formation energy: -2469 meV/atom

```
TbPrPbO2
1.0
3.9415 0.0000 0.0000
0.0000 3.9415 0.0000
-1.9708 -1.9708 7.2461
O Pr Tb Pb
2 1 1 1
direct
0.2459 0.7459 0.4917
0.7459 0.2459 0.4917
0.8335 0.8335 0.6671
0.1715 0.1715 0.3430
0.5033 0.5033 0.0065
```

***

[12]
A plane-wave DFT calculation with PBE was carried out for Tl2CrSe after structural relaxation.

Properties
polymorph energy (0 for the lowest one): 12 meV per atom
calculated density: 8481 kg/m³
raw formation energy: -4 meV/atom

```
Tl2CrSe
1.0
8.4448 0.0145 -0.0063
7.7084 3.4490 -0.0063
0.8221 0.1763 3.6414
Cr Tl Se
1 2 1
direct
0.7500 0.7500 0.7500
0.4248 0.4248 0.5737
0.0752 0.0752 0.9263
0.2500 0.2500 0.2500
```